Entry 1:
{"formula": "RbPuBe2F8", "functional": "PBE", "state": "optimized geometry", "lattice": [[5.147, 0.000, 0.000], [2.574, 4.458, 0.000], [2.574, 1.486, 8.350]], "species": ["F", "Rb", "F", "Be", "F", "F", "F", "F", "F", "F", "Pu", "Be"], "fractional_positions": [[0.501, 0.242, 0.326], [0.000, 0.000, 0.000], [0.242, 0.932, 0.326], [0.750, 0.750, 0.749], [0.691, 0.691, 0.927], [0.499, 0.068, 0.674], [0.932, 0.501, 0.326], [0.068, 0.758, 0.674], [0.758, 0.499, 0.674], [0.309, 0.309, 0.073], [0.500, 0.500, 0.500], [0.250, 0.250, 0.251]]}

=====

Entry 2:
{"formula": "PuBe2TlF8", "functional": "PBE", "state": "optimized geometry", "lattice": [[-0.245, -0.749, 5.113], [-2.755, -3.941, 1.908], [5.596, -6.363, 1.953]], "species": ["Be", "F", "F", "F", "F", "F", "F", "Tl", "Pu", "F", "Be", "F"], "fractional_positions": [[0.749, 0.749, 0.752], [0.810, 0.810, 0.570], [0.004, 0.436, 0.829], [0.996, 0.564, 0.171], [0.268, 0.996, 0.171], [0.436, 0.732, 0.829], [0.190, 0.190, 0.430], [0.500, 0.500, 0.500], [0.000, 0.000, 0.000], [0.732, 0.004, 0.829], [0.251, 0.251, 0.248], [0.564, 0.268, 0.171]]}

=====

Entry 3:
{"formula": "RbBeF4", "functional": "PBE", "state": "optimized geometry", "lattice": [[-0.290, -2.386, -4.341], [3.479, -4.478, 2.229], [-6.470, 0.633, 3.042]], "species": ["Rb", "F", "F", "F", "Be", "F", "Rb", "F", "Be", "F", "F", "F"], "fractional_positions": [[0.932, 0.832, 0.663], [0.529, 0.381, 0.164], [0.471, 0.217, 0.836], [0.703, 0.305, 0.610], [0.736, 0.428, 0.857], [0.000, 0.317, 0.000], [0.068, 0.168, 0.337], [0.297, 0.695, 0.390], [0.264, 0.572, 0.143], [0.000, 0.683, 0.000], [0.529, 0.783, 0.164], [0.471, 0.619, 0.836]]}

=====

Entry 4:
{"formula": "RbBeF2", "functional": "PBE", "state": "optimized geometry", "de_polymorph_mev_per_atom": 0, "lattice": [[5.134, -0.933, 3.703], [4.250, -4.530, 1.533], [6.255, -1.279, -0.427]], "species": ["Be", "F", "F", "Rb"], "fractional_positions": [[0.000, 0.000, 0.000], [0.918, 0.918, 0.918], [0.082, 0.082, 0.082], [0.500, 0.500, 0.500]]}

=====

Number 1: formation energy without anion corrections -3.298 eV per atom. Number 2: formation energy without anion corrections -3.122 eV per atom. Number 3: formation energy without anion corrections -2.457 eV per atom. Number 4: formation energy without anion corrections -2.139 eV per atom.